The following is a DFT calculation (GGA+U) of a relaxed LaFeTeO6 crystal.

## Properties
The symmetry is P-31c (163). The total energy comes out at -122.03 eV/cell. As for the energy above the most stable polymorph in this dataset: 0 kJ/mol of formula units. As for the volume: 13.9 Å³/atom. The density of states at the Fermi level is 0.00 states/eV/f.u.

Cell lengths 5.267, 5.267, 10.426 Å; angles 90.00, 90.00, 120.00 degrees
Last column: magnetic moment on the atom in μB.
Fractional positions:
La 0.000 0.000 0.500  0.02
La 0.000 0.000 0.000  0.02
Fe 0.667 0.333 0.750  4.33
Fe 0.333 0.667 0.250  4.33
Te 0.333 0.667 0.750  0.01
Te 0.667 0.333 0.250  0.01
O 0.364 0.377 0.644  0.09
O 0.636 0.013 0.144  0.09
O 0.636 0.623 0.356  0.09
O 0.364 0.987 0.856  0.09
O 0.623 0.987 0.644  0.09
O 0.377 0.364 0.144  0.09
O 0.377 0.013 0.356  0.09
O 0.623 0.636 0.856  0.09
O 0.013 0.636 0.644  0.09
O 0.987 0.623 0.144  0.09
O 0.987 0.364 0.356  0.09
O 0.013 0.377 0.856  0.09